[1]
Compound: YAgHg
Source: Alexandria
Functional: PBE-GGA
Structure: relaxed

Properties
E_form = -0.3491 eV/atom

abc: 4.8917 5.9479 5.9132
angles: 69.02 65.57 65.72
With the nearest neighbours (Å) after each atom.
Fractional positions:
1 Hg 0.1710 0.3338 0.3241  2 Ag 2.82, 1 Hg 2.89
2 Hg 0.8290 0.6662 0.6759  2 Ag 2.82, 1 Hg 2.89
3 Y 0.5044 0.2447 0.7465  6 Hg 3.24-3.31, 6 Ag 3.27-3.33, 2 Y 3.35-3.37
4 Y 0.4956 0.7553 0.2535  6 Hg 3.24-3.31, 6 Ag 3.27-3.33, 2 Y 3.35-3.37
5 Ag 0.8361 0.1682 0.1596  1 Ag 2.77, 2 Hg 2.82
6 Ag 0.1639 0.8318 0.8404  1 Ag 2.77, 2 Hg 2.82


[2]
Compound: DyScAsO2
Source: Alexandria
Functional: PBE-GGA
Structure: relaxed

Properties
Energy = -0.566 Ry per atom

abc: 3.6871 3.6871 6.7645
angles: 105.82 105.82 90.00
With the nearest neighbours (Å) after each atom.
Fractional positions:
1 O 0.2562 0.7562 0.5124  2 Sc 2.08, 2 Dy 2.22
2 O 0.7562 0.2562 0.5124  2 Sc 2.08, 2 Dy 2.22
3 As 0.4968 0.4968 0.9936  4 Dy 3.29, 4 Sc 3.31, 4 O 3.52, 4 As 3.69
4 Dy 0.1578 0.1578 0.3157  4 O 2.22
5 Sc 0.8330 0.8330 0.6659  4 O 2.08


[3]
Compound: NdEr2Al
Source: Alexandria
Functional: PBE-GGA
Structure: relaxed

Properties
Relative energy among the computed polymorphs = 0.2106 eV per atom
E_form = 0.0111 eV/atom

abc: 5.3684 5.3684 5.3684
angles: 60.00 60.00 60.00
With the nearest neighbours (Å) after each atom.
Fractional positions:
1 Er 0.7500 0.7500 0.7500  4 Nd 3.29, 4 Al 3.29
2 Er 0.2500 0.2500 0.2500  4 Nd 3.29, 4 Al 3.29
3 Nd 0.5000 0.5000 0.5000  8 Er 3.29
4 Al 0.0000 0.0000 0.0000  8 Er 3.29